CdAsRu2: optimized geometry, PBE.

Cell: 5.743 5.743 5.743 Å, 103.64 103.64 121.90°
Positions (direct):
1 Cd 0.000 0.000 0.000
2 Cd 0.750 0.250 0.500
3 As 0.250 0.750 0.500
4 As 0.500 0.500 0.000
5 Ru 0.185 0.125 0.560
6 Ru 0.375 0.815 0.940
7 Ru 0.565 0.625 0.440
8 Ru 0.875 0.435 0.060

Results
- energy above the lowest structure with this stoichiometry (meV/atom) = 309
- mass density (Mg/m³) = 9.2
- energy of formation from the pure elements (eV per atom) = 0.378